# Na4CoAuO5, relaxed, DFT GGA+U
data_Na4CoAuO5
_symmetry_space_group_name_H-M 'C m c m'
_symmetry_Int_Tables_number 63
_symmetry_space_group_name_Hall '-C 2c 2'
_cell_length_a 9.602
_cell_length_b 5.860
_cell_length_c 10.599
_cell_angle_alpha 90.00
_cell_angle_beta 90.00
_cell_angle_gamma 90.00
loop_
_atom_site_label
_atom_site_fract_x
_atom_site_fract_y
_atom_site_fract_z
Na1 0.171 0.000 0.000
Na2 0.184 0.325 0.250
Co1 0.000 0.230 0.750
Au1 0.000 0.500 0.000
O1 0.000 0.070 0.250
O2 0.139 0.346 0.618
# E = -51.112 eV per formula unit
# calculated volume = 13.55 Å³/atom
# spin magnetization = 4.0 μB per formula unit